Pr2HgRhC | the Alexandria database | GGA-PBE | optimized geometry; space group = No. 123; ρ = 8.81 Mg/m³; energy of formation = -397 meV/atom; volume = 112.6 Å³ per cell; total moment = 0.000 μB per cell
1.0
3.917 0.000 0.000
0.000 5.363 0.000
0.000 0.000 5.363
Pr C Rh Hg
2 1 1 1
Direct
0.000 0.500 0.000 Pr
0.000 0.000 0.500 Pr
0.000 0.000 0.000 C
0.500 0.000 0.000 Rh
0.500 0.500 0.500 Hg